Density functional theory data (GGA+U) for an optimized crystal structure of MnCr2F.

Geometry as POSCAR:
```
MnCr2F
1.0
1.680 1.138 3.462
2.341 3.258 0.119
-1.278 3.322 1.854
Cr Mn F
2 1 1
Direct
0.250 0.250 0.250
0.750 0.750 0.750
0.500 0.500 0.500
0.000 0.000 0.000
```

Properties
As for the energy above the lowest structure with this stoichiometry: 2503 meV/atom. The value obtained for the electronic total energy is -15.1 eV/cell. The volume is 11.43 Å³/atom. As for the symmetry: Fm-3m.